1.
Material: Th2In8Ru
Method: DFT, PBE
State: relaxed

```
data_Th2In8Ru
_symmetry_space_group_name_H-M 'P 1'
_symmetry_Int_Tables_number 1
_cell_length_a 4.7294
_cell_length_b 4.7294
_cell_length_c 12.3729
_cell_angle_alpha 90.00
_cell_angle_beta 90.00
_cell_angle_gamma 90.00
loop_
_symmetry_equiv_pos_as_xyz
'x,y,z'
loop_
_atom_site_label
_atom_site_fract_x
_atom_site_fract_y
_atom_site_fract_z
_atom_site_occupancy
Th1 0.0000 0.0000 0.3048 1
Th2 0.0000 0.0000 0.6952 1
In1 0.0000 0.5000 0.5000 1
In2 0.5000 0.0000 0.5000 1
In3 0.5000 0.5000 0.3083 1
In4 0.5000 0.5000 0.6917 1
In5 0.0000 0.5000 0.1181 1
In6 0.5000 0.0000 0.1181 1
In7 0.0000 0.5000 0.8819 1
In8 0.5000 0.0000 0.8819 1
Ru1 0.0000 0.0000 0.0000 1
```

Output
Fermi-level density of states ... 6.9 states/eV/f.u.
Total moment ... 0.000 μB/atom
Symmetry ... P4/mmm
Energy of formation ... -291 meV per atom

***

2.
Material: NaZn6In6
Method: DFT, PBE
State: relaxed

```
data_NaZn6In6
_symmetry_space_group_name_H-M 'P 1'
_symmetry_Int_Tables_number 1
_cell_length_a 5.5139
_cell_length_b 7.6159
_cell_length_c 7.6160
_cell_angle_alpha 87.04
_cell_angle_beta 68.78
_cell_angle_gamma 68.78
loop_
_symmetry_equiv_pos_as_xyz
'x,y,z'
loop_
_atom_site_label
_atom_site_fract_x
_atom_site_fract_y
_atom_site_fract_z
_atom_site_occupancy
Na1 0.0000 0.0000 0.0000 1
Zn1 0.0000 0.5000 0.0000 1
Zn2 0.5000 0.5000 0.0000 1
Zn3 0.0000 0.0000 0.5000 1
Zn4 0.5000 0.0000 0.5000 1
Zn5 0.5000 0.7674 0.2326 1
Zn6 0.5000 0.2326 0.7674 1
In1 0.3397 0.6603 0.6603 1
In2 0.6603 0.3397 0.3397 1
In3 0.0000 0.3470 0.6530 1
In4 0.0000 0.6530 0.3470 1
In5 0.3233 0.1767 0.1767 1
In6 0.6767 0.8233 0.8233 1
```

Output
Fermi-level density of states ... 4.8 states/eV/f.u.
Total moment ... 0.000 μB/atom
Symmetry ... Immm
Energy of formation ... 23 meV per atom

***

3.
Material: ZnGaSe
Method: DFT, PBE
State: relaxed

```
data_ZnGaSe
_symmetry_space_group_name_H-M 'P 1'
_symmetry_Int_Tables_number 1
_cell_length_a 6.4149
_cell_length_b 4.0014
_cell_length_c 11.2969
_cell_angle_alpha 90.00
_cell_angle_beta 121.22
_cell_angle_gamma 90.00
loop_
_symmetry_equiv_pos_as_xyz
'x,y,z'
loop_
_atom_site_label
_atom_site_fract_x
_atom_site_fract_y
_atom_site_fract_z
_atom_site_occupancy
Zn1 0.0164 0.0000 0.6183 1
Zn2 0.9836 0.0000 0.3817 1
Zn3 0.0164 0.5000 0.1183 1
Zn4 0.9836 0.5000 0.8817 1
Ga1 0.3525 0.0000 0.0626 1
Ga2 0.6475 0.0000 0.9374 1
Ga3 0.3525 0.5000 0.5626 1
Ga4 0.6475 0.5000 0.4374 1
Se1 0.7234 0.0000 0.7169 1
Se2 0.2766 0.0000 0.2831 1
Se3 0.7234 0.5000 0.2169 1
Se4 0.2766 0.5000 0.7831 1
```

Output
Fermi-level density of states ... 0.3 states/eV/f.u.
Total moment ... 0.000 μB/atom
Symmetry ... C2/m
Energy above the lowest structure with this stoichiometry ... 0.0834 eV per atom

***

4.
Material: ZnReBr2
Method: DFT, PBE
State: relaxed

```
data_ZnReBr2
_symmetry_space_group_name_H-M 'P 1'
_symmetry_Int_Tables_number 1
_cell_length_a 3.5596
_cell_length_b 7.3443
_cell_length_c 7.3463
_cell_angle_alpha 41.27
_cell_angle_beta 90.00
_cell_angle_gamma 90.00
loop_
_symmetry_equiv_pos_as_xyz
'x,y,z'
loop_
_atom_site_label
_atom_site_fract_x
_atom_site_fract_y
_atom_site_fract_z
_atom_site_occupancy
Br1 0.0000 0.1176 0.1175 1
Br2 0.0000 0.3824 0.3825 1
Re1 0.5000 0.2500 0.2500 1
Zn1 0.5000 0.7500 0.7500 1
```

Output
Fermi-level density of states ... 2.0 states/eV/f.u.
Total moment ... 0.502 μB/atom
Symmetry ... Cmmm
Energy above the lowest structure with this stoichiometry ... 0.1943 eV per atom